# SrIn2Pt SCAN single point on PBEsol structure
# * calculated volume: 23.68 Å³ per atom
# * E_form: -3.3 eV per formula unit
data_SrIn2Pt
_symmetry_space_group_name_H-M 'C m c m'
_symmetry_Int_Tables_number 63
_symmetry_space_group_name_Hall '-C 2c 2'
_cell_length_a 4.4584
_cell_length_b 10.8144
_cell_length_c 7.8571
_cell_angle_alpha 90.00
_cell_angle_beta 90.00
_cell_angle_gamma 90.00
loop_
_atom_site_label
_atom_site_fract_x
_atom_site_fract_y
_atom_site_fract_z
Sr1 0.0000 0.0631 0.2500
In1 0.0000 0.3505 0.0538
Pt1 0.0000 0.2195 0.7500